A | This record from Alexandria via LeMat-Bulk describes a relaxed Tm4Tl2In crystal. The functional is PBE-GGA.

```
7
Lattice="2.596 1.499 8.555 -2.596 1.499 8.555 0.000 -2.998 8.555" Properties=species:S:1:pos:R:3 pbc="T T T"
Tm 0.000 0.000 3.112
Tm 0.000 0.000 9.596
Tm 0.000 0.000 16.070
Tm 0.000 0.000 22.554
Tl 0.000 0.000 6.534
Tl 0.000 0.000 19.132
In 0.000 0.000 12.833
```

Calculated volume ... 199.7 Å³/cell



B | This record from Alexandria via LeMat-Bulk describes a relaxed Tm4Tl2In crystal. The functional is PBE-GGA.

```
14
Lattice="7.318 0.000 0.000 0.000 6.553 0.000 -3.136 0.000 8.357" Properties=species:S:1:pos:R:3 pbc="T T T"
Tm 0.418 1.638 0.369
Tm -1.069 0.022 6.045
Tm -1.069 3.254 6.045
Tm 1.104 4.915 2.874
Tm 3.078 1.638 5.483
Tm 5.251 3.299 2.312
Tm 5.251 6.531 2.312
Tm 3.764 4.915 7.988
Tl 0.197 1.638 3.711
Tl 2.998 4.915 0.415
Tl 1.184 1.638 7.942
Tl 3.985 4.915 4.646
In 2.730 1.638 2.371
In 1.452 4.915 5.986
```

Calculated volume ... 400.7 Å³/cell



What is the least stable structure shown above? It is B.